Version 1
GGA-PBE CaHo2Os, relaxed; crystal system = trigonal; size of the total moment = 0.000 μB/f.u.
1.0
3.903 0.000 0.000
1.951 3.380 0.000
1.951 1.127 10.476
Ca Os Ho
1 1 2
direct
0.000 0.000 0.000
0.500 0.500 0.500
0.118 0.118 0.647
0.882 0.882 0.353


Version 2
GGA-PBE CaHo2Os, relaxed; crystal system = tetragonal; size of the total moment = 0.000 μB/f.u.
1.0
3.416 0.000 0.000
0.000 3.416 0.000
0.000 0.000 9.634
Ca Os Ho
1 1 2
direct
0.500 0.500 0.500
0.500 0.500 0.000
0.000 0.000 0.830
0.000 0.000 0.170


Short version: version 2 is the most stable of them.


Version 1
GGA-PBE Ca2HoPb, relaxed; crystal system = tetragonal; size of the total moment = 0.000 μB/f.u.
1.0
5.147 0.000 0.000
0.000 4.911 0.000
0.000 0.000 4.911
Pb Ca Ho
1 2 1
direct
0.500 0.500 0.500
0.000 0.000 0.500
0.000 0.500 0.000
0.500 0.000 0.000


Version 2
GGA-PBE Ca2HoPb, relaxed; crystal system = trigonal; size of the total moment = 0.001 μB/f.u.
1.0
3.633 0.000 0.000
1.816 3.146 0.000
1.816 1.049 12.492
Pb Ca Ho
1 2 1
direct
0.000 0.000 0.000
0.087 0.087 0.740
0.913 0.913 0.260
0.500 0.500 0.500


Short version: version 1 is the most stable of them.


Version 1
GGA-PBE CaHo2Pd, relaxed; crystal system = trigonal; size of the total moment = 0.001 μB/f.u.
1.0
4.056 0.000 0.000
2.028 3.513 0.000
2.028 1.171 9.195
Ca Ho Pd
1 2 1
direct
0.501 0.501 0.497
0.055 0.055 0.836
0.278 0.278 0.165
0.666 0.666 0.001


Version 2
GGA-PBE CaHo2Pd, relaxed; crystal system = tetragonal; size of the total moment = 0.000 μB/f.u.
1.0
-0.650 -2.356 -2.520
-0.591 -2.450 2.443
-9.112 2.349 0.154
Ca Ho Pd
1 2 1
direct
0.500 0.500 0.500
0.000 0.000 0.821
0.000 0.000 0.179
0.500 0.500 0.000


Short version: version 2 is the most stable of them.


Version 1
GGA-PBE CaHoPd4, relaxed; crystal system = monoclinic; size of the total moment = 0.000 μB/f.u.
1.0
3.583 0.000 1.036
1.982 4.820 -0.139
-0.057 -1.505 6.909
Ca Ho Pd
1 1 4
direct
0.000 0.000 0.000
0.500 0.500 0.500
0.851 0.477 0.820
0.319 0.013 0.348
0.149 0.523 0.180
0.681 0.987 0.652


Version 2
GGA-PBE CaHoPd4, relaxed; crystal system = cubic; size of the total moment = 0.000 μB/f.u.
1.0
-4.104 -2.846 2.166
0.811 -2.947 4.505
-2.212 1.575 4.718
Ca Ho Pd
1 1 4
direct
0.250 0.250 0.250
0.000 0.000 0.000
0.625 0.625 0.125
0.625 0.125 0.625
0.625 0.625 0.625
0.125 0.625 0.625


Short version: version 2 is the most stable of them.